Record 1
{"formula": "Li2CdPt2", "functional": "GGA-PBE", "state": "optimized geometry", "lattice": [[-2.9624, -1.4031, -1.2951], [0.4350, -2.8236, 2.0640], [-4.7424, 0.8336, 5.1489]], "species": ["Cd", "Li", "Pt", "Li", "Pt"], "fractional_positions": [[0.0000, 0.0000, 0.0000], [0.2500, 0.7500, 0.5000], [0.6065, 0.6065, 0.7869], [0.7500, 0.2500, 0.5000], [0.3935, 0.3935, 0.2131]], "e_above_lowest_polymorph_kj_per_mol_atoms": 24.10, "magnetic_moment_mub_per_cell": 0.00, "energy_ev_per_atom": -3.552, "delta_e_f_ev_per_atom": -0.19}

---

Record 2
{"formula": "Li8Cd2Pt", "functional": "GGA-PBE", "state": "optimized geometry", "lattice": [[-1.7398, 3.3249, -1.7374], [-3.7561, 0.6935, 5.0885], [6.8343, 2.2308, 2.3464]], "species": ["Pt", "Li", "Li", "Li", "Li", "Cd", "Li", "Cd", "Li", "Li", "Li"], "fractional_positions": [[0.5000, 0.0000, 0.0000], [0.0346, 0.7487, 0.0692], [0.5891, 0.4230, 0.1783], [0.4109, 0.5770, 0.8217], [0.1324, 0.1600, 0.2649], [0.2166, 0.6418, 0.4332], [0.3322, 0.0959, 0.6644], [0.7834, 0.3582, 0.5668], [0.9654, 0.2513, 0.9308], [0.8676, 0.8400, 0.7351], [0.6678, 0.9041, 0.3356]], "e_above_lowest_polymorph_kj_per_mol_atoms": 0.00, "magnetic_moment_mub_per_cell": 0.00, "energy_ev_per_atom": -2.368, "delta_e_f_ev_per_atom": -0.26}

---

Record 3
{"formula": "Li4Cd3Pt", "functional": "GGA-PBE", "state": "optimized geometry", "lattice": [[3.0019, 0.0000, 0.0000], [0.0000, 4.8754, -0.8227], [-1.5009, -3.0235, 10.2430]], "species": ["Pt", "Cd", "Li", "Li", "Cd", "Cd", "Li", "Li"], "fractional_positions": [[0.5000, 0.0000, 0.0000], [0.1276, 0.3783, 0.2553], [0.6214, 0.8817, 0.2427], [0.2528, 0.2564, 0.5056], [0.0000, 0.5000, 0.0000], [0.8724, 0.6217, 0.7447], [0.3786, 0.1183, 0.7573], [0.7472, 0.7436, 0.4944]], "e_above_lowest_polymorph_kj_per_mol_atoms": 8.98, "magnetic_moment_mub_per_cell": 0.00, "energy_ev_per_atom": -2.301, "delta_e_f_ev_per_atom": -0.25}

---

Record 4
{"formula": "Li2Cd3Pt", "functional": "GGA-PBE", "state": "optimized geometry", "lattice": [[-0.6526, 3.6572, 1.1629], [-4.2074, -0.6917, -0.1858], [0.0963, -3.8707, 12.2266]], "species": ["Cd", "Cd", "Cd", "Li", "Cd", "Cd", "Li", "Li", "Cd", "Pt", "Li", "Pt"], "fractional_positions": [[0.5001, 0.7500, 0.0834], [0.5000, 0.2500, 0.2500], [0.4999, 0.2500, 0.5834], [0.0000, 0.7500, 0.9086], [0.5000, 0.7500, 0.7500], [0.4999, 0.2500, 0.9166], [0.0000, 0.7500, 0.5914], [0.0000, 0.2500, 0.0914], [0.5001, 0.7500, 0.4166], [0.0000, 0.7500, 0.2500], [0.0000, 0.2500, 0.4086], [0.0000, 0.2500, 0.7500]], "magnetic_moment_mub_per_cell": 0.00, "energy_ev_per_atom": -2.458, "delta_e_f_ev_per_atom": -0.36}

---

Record 5
{"formula": "LiCd3Pt", "functional": "GGA-PBE", "state": "optimized geometry", "lattice": [[5.2204, 0.0000, 0.0000], [0.0000, 5.2204, 0.0000], [0.0000, 0.0000, 5.2204]], "species": ["Cd", "Cd", "Li", "Pt", "Cd"], "fractional_positions": [[0.0000, 0.0000, 0.5000], [0.5000, 0.0000, 0.0000], [0.5000, 0.5000, 0.5000], [0.0000, 0.0000, 0.0000], [0.0000, 0.5000, 0.0000]], "e_above_lowest_polymorph_kj_per_mol_atoms": 26.98, "magnetic_moment_mub_per_cell": 0.00, "energy_ev_per_atom": -2.205, "delta_e_f_ev_per_atom": -0.06}

---

Record 6
{"formula": "Li6Cd3Pt", "functional": "GGA-PBE", "state": "optimized geometry", "lattice": [[-0.7713, -3.1117, -4.0724], [6.5177, -0.0397, 0.9946], [-3.4173, -2.7312, 4.9329]], "species": ["Li", "Cd", "Li", "Li", "Li", "Pt", "Cd", "Li", "Cd", "Li"], "fractional_positions": [[0.1967, 0.0000, 0.6360], [0.1695, 0.5354, 0.5354], [0.0074, 0.2324, 0.0000], [0.7750, 0.7676, 0.7676], [0.5607, 0.3640, 0.3640], [0.4797, 0.0000, 0.0000], [0.6340, 0.0000, 0.4646], [0.1967, 0.6360, 0.0000], [0.6340, 0.4646, 0.0000], [0.0074, 0.0000, 0.2324]], "magnetic_moment_mub_per_cell": 0.00, "energy_ev_per_atom": -2.192, "delta_e_f_ev_per_atom": -0.17}

---

Record 7
{"formula": "Li5Cd3Pt", "functional": "GGA-PBE", "state": "optimized geometry", "lattice": [[5.7275, -0.3613, -0.1119], [1.2205, 5.6076, -0.1119], [1.8293, 1.3813, 10.8636]], "species": ["Li", "Li", "Cd", "Pt", "Cd", "Li", "Li", "Li", "Cd", "Li", "Li", "Cd", "Cd", "Pt", "Cd", "Li", "Li", "Li"], "fractional_positions": [[0.7247, 0.7247, 0.1355], [0.9814, 0.4239, 0.3182], [0.3259, 0.3259, 0.5287], [0.9384, 0.9384, 0.2642], [0.0000, 0.0000, 0.0000], [0.5761, 0.0186, 0.6818], [0.6697, 0.3303, 0.0000], [0.4239, 0.9814, 0.3182], [0.2453, 0.2453, 0.1252], [0.4635, 0.4635, 0.2849], [0.3303, 0.6697, 0.0000], [0.0000, 0.0000, 0.5000], [0.6741, 0.6741, 0.4713], [0.0616, 0.0616, 0.7358], [0.7547, 0.7547, 0.8748], [0.5365, 0.5365, 0.7151], [0.0186, 0.5761, 0.6818], [0.2753, 0.2753, 0.8645]], "magnetic_moment_mub_per_cell": 0.00, "energy_ev_per_atom": -2.116, "delta_e_f_ev_per_atom": -0.08}

---

Record 8
{"formula": "LiCd4Pt5", "functional": "GGA-PBE", "state": "optimized geometry", "lattice": [[-2.3553, 1.8399, 0.3257], [-0.6242, -1.2687, 2.6532], [10.8026, 12.3349, 8.4399]], "species": ["Pt", "Cd", "Cd", "Pt", "Li", "Cd", "Cd", "Pt", "Pt", "Pt"], "fractional_positions": [[0.5000, 0.5000, 0.2894], [0.0000, 0.0000, 0.6054], [0.0000, 0.0000, 0.1837], [0.5000, 0.5000, 0.9198], [0.0000, 0.0000, 0.0000], [0.0000, 0.0000, 0.3946], [0.0000, 0.0000, 0.8163], [0.5000, 0.5000, 0.7106], [0.5000, 0.5000, 0.5000], [0.5000, 0.5000, 0.0802]], "magnetic_moment_mub_per_cell": 0.00, "energy_ev_per_atom": -3.930, "delta_e_f_ev_per_atom": -0.35}